# Dy6SnHg6

An optimized crystal structure of Dy6SnHg6 (GGA-PBE, Alexandria).

The value obtained for the calculated volume is 353.2 Å³/cell. The value obtained for the formation enthalpy at 0 K is -3.837 eV per formula unit. Its crystal system is hexagonal.

Cell lengths 6.2675, 6.2675, 10.3826 Å; angles 90.00, 90.00, 120.00 degrees
Space group P6/mmm (No. 191)
Asymmetric unit:
1 Dy 0.0000 0.0000 0.1855 (multiplicity 2)
2 Dy 0.3333 0.6667 0.0000 (multiplicity 2)
3 Dy 0.3333 0.6667 0.5000 (multiplicity 2)
4 Sn 0.0000 0.0000 0.5000 (multiplicity 1)
5 Hg 0.0000 0.5000 0.2486 (multiplicity 6)